1.
DFT (PBEsol) results for a geometry-optimized TiBO3 structure.

Unit cell a=5.599 b=5.599 c=5.599 alpha=49.23 beta=49.23 gamma=49.23
Fractional positions:
1 Ti 0.000 0.000 0.000
2 Ti 0.500 0.500 0.500
3 B 0.250 0.250 0.250
4 B 0.750 0.750 0.750
5 O 0.047 0.750 0.453
6 O 0.250 0.547 0.953
7 O 0.453 0.047 0.750
8 O 0.547 0.953 0.250
9 O 0.750 0.453 0.047
10 O 0.953 0.250 0.547

## Properties
ΔE_f (raw): -252 kJ per mole of atoms
ρ: 3.830 g cm⁻³

2.
DFT (PBEsol) results for a geometry-optimized Ti2BO structure.

Unit cell a=3.864 b=3.864 c=3.864 alpha=60.00 beta=60.00 gamma=60.00
Fractional positions:
1 Ti 0.250 0.250 0.250
2 Ti 0.750 0.750 0.750
3 B 0.000 0.000 0.000
4 O 0.500 0.500 0.500

## Properties
ΔE_f (raw): -72 kJ per mole of atoms
ρ: 4.987 g cm⁻³

3.
DFT (PBEsol) results for a geometry-optimized TlB3O5 structure.

Unit cell a=5.143 b=8.247 c=10.361 alpha=90.00 beta=90.00 gamma=90.00
Fractional positions:
1 Tl 0.032 0.233 0.371
2 Tl 0.468 0.767 0.871
3 Tl 0.532 0.267 0.629
4 Tl 0.968 0.733 0.129
5 B 0.046 0.933 0.691
6 B 0.102 0.148 0.854
7 B 0.201 0.615 0.461
8 B 0.299 0.385 0.961
9 B 0.398 0.852 0.354
10 B 0.454 0.067 0.191
11 B 0.546 0.567 0.309
12 B 0.602 0.352 0.146
13 B 0.701 0.885 0.539
14 B 0.799 0.115 0.039
15 B 0.898 0.648 0.646
16 B 0.954 0.433 0.809
17 O 0.056 0.550 0.557
18 O 0.066 0.771 0.711
19 O 0.138 0.495 0.894
20 O 0.184 0.772 0.421
21 O 0.210 0.036 0.757
22 O 0.290 0.964 0.257
23 O 0.316 0.228 0.921
24 O 0.362 0.505 0.394
25 O 0.434 0.229 0.211
26 O 0.444 0.450 0.057
27 O 0.556 0.950 0.443
28 O 0.566 0.729 0.289
29 O 0.638 0.005 0.106
30 O 0.684 0.728 0.579
31 O 0.710 0.464 0.243
32 O 0.790 0.536 0.743
33 O 0.816 0.272 0.079
34 O 0.862 0.995 0.606
35 O 0.934 0.271 0.789
36 O 0.944 0.050 0.943

## Properties
Distance to the lowest polymorph of the same formula: 16 meV per atom
ΔE_f (raw): -212 kJ per mole of atoms
ρ: 4.788 g cm⁻³

4.
DFT (PBEsol) results for a geometry-optimized TlBO2 structure.

Unit cell a=7.336 b=7.336 c=9.379 alpha=90.00 beta=90.00 gamma=90.00
Fractional positions:
1 Tl 0.023 0.747 0.000
2 Tl 0.253 0.023 0.250
3 Tl 0.264 0.270 0.837
4 Tl 0.270 0.736 0.587
5 Tl 0.730 0.264 0.087
6 Tl 0.736 0.730 0.337
7 Tl 0.747 0.977 0.750
8 Tl 0.977 0.253 0.500
9 B 0.132 0.456 0.263
10 B 0.403 0.548 0.115
11 B 0.452 0.403 0.365
12 B 0.456 0.868 0.013
13 B 0.544 0.132 0.513
14 B 0.548 0.597 0.865
15 B 0.597 0.452 0.615
16 B 0.868 0.544 0.763
17 O 0.050 0.563 0.784
18 O 0.207 0.502 0.132
19 O 0.251 0.424 0.378
20 O 0.424 0.749 0.128
21 O 0.437 0.050 0.034
22 O 0.461 0.486 0.974
23 O 0.486 0.539 0.724
24 O 0.498 0.207 0.382
25 O 0.502 0.793 0.882
26 O 0.514 0.461 0.224
27 O 0.539 0.514 0.474
28 O 0.563 0.950 0.534
29 O 0.576 0.251 0.628
30 O 0.749 0.576 0.878
31 O 0.793 0.498 0.632
32 O 0.950 0.437 0.284

## Properties
Distance to the lowest polymorph of the same formula: 0 meV per atom
ΔE_f (raw): -176 kJ per mole of atoms
ρ: 6.505 g cm⁻³

no.,electronic total energy (eV per cell)
1,-88.3
2,-31.9
3,-278.6
4,-219.6